(1)
Below is a geometry-optimized BeTc3Ag structure, with properties calculated at the PBE level.

Its relative energy among the computed polymorphs is 1996 meV/atom. Its total energy is -23.66 eV/cell. The calculation puts the density at 5.8 g/cm3.

The structure belongs to space group Pm-3m (No. 221); the cell edges are 4.892, 4.892 and 4.892 Å and the angles 90.00°, 90.00° and 90.00°. Symmetry generates all atoms from Be at (0.000, 0.000, 0.000), Tc at (0.000, 0.500, 0.500) and Ag at (0.500, 0.500, 0.500).

(2)
Below is a geometry-optimized Nd3Dy6Sc structure, with properties calculated at the PBE level.

Its relative energy among the computed polymorphs is 136 meV/atom. Its total energy is -90.84 eV/cell. The calculation puts the density at 7.1 g/cm3.

The structure belongs to space group C2/m (No. 12); the cell edges are 9.168, 8.391 and 8.941 Å and the angles 90.00°, 100.87° and 90.00°. Symmetry generates all atoms from Nd at (0.000, 0.000, 0.000), Nd at (0.218, 0.000, 0.747), Dy at (0.115, 0.500, 0.860), Dy at (0.119, 0.185, 0.360) and Sc at (0.000, 0.500, 0.500).

no.,E_form (meV per atom)
1,2803
2,283